No. 1
SmThSc2As4 | PBE-GGA | relaxed

Output
- raw total energy (eV/atom) = -6.840
- size of the total moment (Bohr magnetons per cell) = 0.00
- mass density (g/cm³) = 6.75
- space-group type = No. 10
- ΔE_f (meV/atom) = -1415
- Fermi-level density of states (states/eV/f.u.) = 1.66

Unit cell a=6.988 b=4.084 c=7.063 alpha=90.00 beta=109.63 gamma=90.00
Atoms (fractional coordinates):
Sm 0.000 0.000 0.000
Th 0.000 0.500 0.500
Sc 0.500 0.000 0.500
Sc 0.500 0.500 0.000
As 0.271 0.500 0.257
As 0.273 0.000 0.759
As 0.727 0.000 0.241
As 0.729 0.500 0.743

No. 2
Na3In3GeS8 | PBE-GGA | relaxed

Output
- raw total energy (eV/atom) = -4.047
- size of the total moment (Bohr magnetons per cell) = 0.00
- mass density (g/cm³) = 3.67
- space-group type = No. 166
- uncorrected formation energy (meV per atom) = -726

Unit cell a=8.097 b=8.097 c=8.097 alpha=55.46 beta=55.46 gamma=55.46
Atoms (fractional coordinates):
Na 0.000 0.500 0.500
Na 0.500 0.000 0.500
Na 0.500 0.500 0.000
In 0.000 0.000 0.500
In 0.000 0.500 0.000
In 0.500 0.000 0.000
Ge 0.500 0.500 0.500
S 0.239 0.239 0.239
S 0.259 0.724 0.724
S 0.276 0.276 0.741
S 0.276 0.741 0.276
S 0.724 0.259 0.724
S 0.724 0.724 0.259
S 0.741 0.276 0.276
S 0.761 0.761 0.761